Entry from Alexandria: a relaxed NdSmIrPt crystal (GGA-PBE).

Unit cell a=4.360 b=3.956 c=10.919 alpha=90.00 beta=90.00 gamma=90.00
Sites, in units of the cell vectors:
Nd: 0.000 0.000 0.000
Nd: 0.000 0.500 0.500
Sm: 0.500 0.000 0.718
Sm: 0.500 0.500 0.218
Ir: 0.000 0.000 0.270
Ir: 0.000 0.500 0.770
Pt: 0.500 0.000 0.441
Pt: 0.500 0.500 0.941

Output
Excess energy over the best structure of this formula in the dataset = 0.000 eV per atom
Space group = Amm2 (38)
Energy of formation from the pure elements = -909 meV/atom